[1]
Density functional theory data (PBE) for a relaxed structure of TiHS.

The calculation puts the density of states at the Fermi level at 5.5 states/eV/cell. As for the total DFT energy (no corrections): -70.676 eV/cell. Its calculated density is 3.19 Mg/m³. As for the size of the total moment: 0.0 μB per formula unit.

Cell and atoms, written as POSCAR:
```
TiHS
1.0
8.665 -1.639 0.000
8.665 1.639 0.000
-1.008 0.000 5.926
Ti H S
4 4 4
Direct
0.175 0.175 0.084
0.184 0.184 0.586
0.816 0.816 0.414
0.825 0.825 0.916
0.249 0.249 0.371
0.257 0.257 0.873
0.743 0.743 0.127
0.751 0.751 0.629
0.078 0.078 0.288
0.383 0.383 0.201
0.617 0.617 0.799
0.922 0.922 0.712
```

[2]
Density functional theory data (PBE) for a relaxed structure of Ti2NbZn.

The calculation puts the density of states at the Fermi level at 13.2 states/eV/cell. The energy of formation from the pure elements comes out at 0.32 eV/atom. Its calculated density is 6.03 Mg/m³. As for the size of the total moment: 0.0 μB per formula unit.

Cell and atoms, written as POSCAR:
```
Ti2NbZn
1.0
-1.917 1.917 9.521
1.917 -1.917 9.521
1.917 1.917 -9.521
Ti Nb Zn
4 2 2
Direct
0.120 0.625 0.995
0.375 0.370 0.495
0.630 0.125 0.005
0.875 0.880 0.505
0.000 0.000 0.000
0.750 0.250 0.500
0.250 0.750 0.500
0.500 0.500 0.000
```

[3]
Density functional theory data (PBE) for a relaxed structure of ScTa2Rh.

The calculation puts the density of states at the Fermi level at 5.3 states/eV/cell. For the polymorph energy (0 for the lowest one), the calculation gives 333 meV per atom. The energy of formation from the pure elements comes out at -0.02 eV/atom. Its calculated density is 11.84 Mg/m³. As for the size of the total moment: 0.0 μB per formula unit.

Cell and atoms, written as POSCAR:
```
ScTa2Rh
1.0
2.678 -4.629 0.000
2.678 4.629 0.000
0.000 0.000 2.884
Sc Ta Rh
1 2 1
Direct
0.000 0.000 0.000
0.000 0.500 0.500
0.500 0.000 0.500
0.500 0.500 0.000
```

[4]
Density functional theory data (PBE) for a relaxed structure of TaRuPb2.

The calculation puts the density of states at the Fermi level at 3.0 states/eV/cell. For the polymorph energy (0 for the lowest one), the calculation gives 585 meV per atom. The energy of formation from the pure elements comes out at 0.68 eV/atom. Its calculated density is 13.92 Mg/m³. As for the size of the total moment: 0.0 μB per formula unit.

Cell and atoms, written as POSCAR:
```
TaRuPb2
1.0
3.188 0.000 0.000
0.000 4.484 0.000
-0.604 0.000 5.811
Ta Ru Pb
1 1 2
Direct
0.000 0.000 0.000
0.500 0.000 0.500
0.297 0.500 0.741
0.703 0.500 0.259
```

Please write out number 3 again, unchanged.
Density functional theory data (PBE) for a relaxed structure of ScTa2Rh.

The calculation puts the density of states at the Fermi level at 5.3 states/eV/cell. For the polymorph energy (0 for the lowest one), the calculation gives 333 meV per atom. The energy of formation from the pure elements comes out at -0.02 eV/atom. Its calculated density is 11.84 Mg/m³. As for the size of the total moment: 0.0 μB per formula unit.

Cell and atoms, written as POSCAR:
```
ScTa2Rh
1.0
2.678 -4.629 0.000
2.678 4.629 0.000
0.000 0.000 2.884
Sc Ta Rh
1 2 1
Direct
0.000 0.000 0.000
0.000 0.500 0.500
0.500 0.000 0.500
0.500 0.500 0.000
```